Computed, not measured: a relaxed structure of Rb2MoS3O at the PBE+U level of DFT.

Calculated values
Fermi-level density of states ... 0.0 states/eV per cell
Energy ... -4.811 eV/atom

The structure in CIF format:
```
data_Rb2MoS3O
_chemical_formula_sum 'Rb8 Mo4 S12 O4'
_cell_length_a 9.609
_cell_length_b 7.361
_cell_length_c 11.909
_cell_angle_alpha 90.00
_cell_angle_beta 90.00
_cell_angle_gamma 90.00
_space_group_name_H-M_alt 'P n m a'
_space_group_IT_number 62
_space_group_name_Hall '-P 2ac 2n'
loop_
_atom_site_label
_atom_site_type_symbol
_atom_site_fract_x
_atom_site_fract_y
_atom_site_fract_z
Rb1 Rb 0.044 0.250 0.190
Rb2 Rb 0.160 0.750 0.378
Mo1 Mo 0.239 0.750 0.050
S1 S 0.016 0.750 0.100
S2 S 0.158 0.005 0.621
O1 O 0.247 0.250 0.401
```